## Cs3H2I3 (PBE-GGA)

Data for an optimized crystal structure of Cs3H2I3.

Output
Calculated volume: 43.507 Å³ per atom
Energy: -2.87 eV per atom
Crystal system: triclinic
Symmetry: P-1

Lattice parameters (Å, degrees): 4.9710 6.9678 11.1875 69.92 74.39 78.49
Closest atoms and distances in Å follow each position.
Sites, in units of the cell vectors:
I1 0.0000 0.0000 0.0000  6 Cs 3.85-4.27
I2 0.9051 0.3814 0.3084  1 H 3.04
I3 0.0949 0.6186 0.6916  1 H 3.04
H1 0.4676 0.9539 0.5259  1 H 0.76
H2 0.5324 0.0461 0.4741  1 H 0.76
Cs1 0.5000 0.5000 0.0000  6 I 3.85-4.21
Cs2 0.7073 0.1777 0.6883  2 H 3.21-3.32
Cs3 0.2927 0.8223 0.3117  2 H 3.21-3.32